{"formula": "Mg2AlSe", "functional": "GGA-PBE", "state": "optimized geometry", "raw_formation_energy_ev_per_atom": -0.185, "total_magnetization_mub_per_atom": 0.000, "total_energy_ry_per_atom": -0.205, "n_ef_per_ev_cell": 1.56, "lattice_angstrom": [[-1.018, 1.998, -4.959], [-3.180, -3.592, -2.569], [0.065, 3.223, 4.385]], "species": ["Al", "Mg", "Mg", "Se"], "fractional_positions": [[0.250, 0.750, 0.500], [0.980, 0.980, 0.000], [0.520, 0.520, 0.000], [0.750, 0.250, 0.500]]}